# Al2V2Ge (PBE, relaxed)
# Polymorph energy (0 for the lowest one) (eV/f.u.): 0.63
# Formation energy (eV per formula unit): -0.083
# Electronic total energy (eV/cell): -121.69
data_Al2V2Ge
_chemical_formula_sum 'Al8 V8 Ge4'
_cell_length_a 4.212
_cell_length_b 8.469
_cell_length_c 9.183
_cell_angle_alpha 90.00
_cell_angle_beta 90.00
_cell_angle_gamma 90.00
_symmetry_space_group_name_H-M 'C m c m'
_symmetry_Int_Tables_number 63
_symmetry_space_group_name_Hall '-C 2c 2'
loop_
_atom_site_label
_atom_site_type_symbol
_atom_site_fract_x
_atom_site_fract_y
_atom_site_fract_z
Al1 Al 0.000 0.151 0.001
V1 V 0.000 0.019 0.250
V2 V 0.000 0.320 0.750
Ge1 Ge 0.000 0.356 0.250

# CdH10C8O12 (PBE, relaxed)
# Electronic total energy (eV/cell): -192.67
data_CdH10C8O12
_chemical_formula_sum 'Cd1 H10 C8 O12'
_cell_length_a 5.323
_cell_length_b 7.841
_cell_length_c 9.163
_cell_angle_alpha 69.18
_cell_angle_beta 79.42
_cell_angle_gamma 71.18
_symmetry_space_group_name_H-M 'P -1'
_symmetry_Int_Tables_number 2
loop_
_symmetry_equiv_pos_as_xyz
'x,y,z'
'-x,-y,-z'
loop_
_atom_site_label
_atom_site_type_symbol
_atom_site_fract_x
_atom_site_fract_y
_atom_site_fract_z
Cd1 Cd 0.000 0.000 0.000
H1 H 0.000 0.000 0.500
H2 H 0.000 0.500 0.500
H3 H 0.067 0.380 0.874
H4 H 0.180 0.297 0.040
H5 H 0.270 0.830 0.278
H6 H 0.493 0.782 0.142
C1 C 0.329 0.315 0.283
C2 C 0.365 0.329 0.434
C3 C 0.374 0.806 0.563
C4 C 0.404 0.826 0.712
O1 O 0.149 0.385 0.190
O2 O 0.179 0.262 0.944
O3 O 0.193 0.883 0.465
O4 O 0.228 0.413 0.530
O5 O 0.271 0.928 0.792
O6 O 0.300 0.802 0.178

# AsBrCl2 (PBE, relaxed)
# Polymorph energy (0 for the lowest one) (eV/f.u.): 1.82
# Electronic total energy (eV/cell): -21.34
# Uncorrected formation energy (eV/atom): -0.164
data_AsBrCl2
_chemical_formula_sum 'As2 Br2 Cl4'
_cell_length_a 3.423
_cell_length_b 5.071
_cell_length_c 13.932
_cell_angle_alpha 90.00
_cell_angle_beta 90.00
_cell_angle_gamma 90.00
_symmetry_space_group_name_H-M 'I m m 2'
_symmetry_Int_Tables_number 44
loop_
_symmetry_equiv_pos_as_xyz
'x,y,z'
'-x,-y,z'
'-x,y,z'
'x,-y,z'
'x+1/2,y+1/2,z+1/2'
'-x+1/2,-y+1/2,z+1/2'
'-x+1/2,y+1/2,z+1/2'
'x+1/2,-y+1/2,z+1/2'
loop_
_atom_site_label
_atom_site_type_symbol
_atom_site_fract_x
_atom_site_fract_y
_atom_site_fract_z
As1 As 0.000 0.000 0.000
Br1 Br 0.000 0.500 0.646
Cl1 Cl 0.000 0.000 0.499
Cl2 Cl 0.000 0.500 0.364

# Na5AlH8O8 (PBE, relaxed)
# Electronic total energy (eV/cell): -437.66
data_Na5AlH8O8
_chemical_formula_sum 'Na20 Al4 H32 O32'
_cell_length_a 9.436
_cell_length_b 9.436
_cell_length_c 9.673
_cell_angle_alpha 90.00
_cell_angle_beta 90.00
_cell_angle_gamma 90.00
_symmetry_space_group_name_H-M 'P 43 21 2'
_symmetry_Int_Tables_number 96
loop_
_symmetry_equiv_pos_as_xyz
'x,y,z'
'-y+1/2,x+1/2,z+3/4'
'-x,-y,z+1/2'
'y+1/2,-x+1/2,z+1/4'
'x+1/2,-y+1/2,-z+1/4'
'-y,-x,-z+1/2'
'-x+1/2,y+1/2,-z+3/4'
'y,x,-z'
loop_
_atom_site_label
_atom_site_type_symbol
_atom_site_fract_x
_atom_site_fract_y
_atom_site_fract_z
Na1 Na 0.113 0.368 0.216
Na2 Na 0.117 0.636 0.474
Na3 Na 0.119 0.881 0.750
Al1 Al 0.131 0.131 0.500
H1 H 0.029 0.140 0.728
H2 H 0.046 0.892 0.458
H3 H 0.138 0.716 0.186
H4 H 0.149 0.266 0.940
O1 O 0.076 0.863 0.006
O2 O 0.126 0.361 0.972
O3 O 0.128 0.337 0.484
O4 O 0.129 0.134 0.704

# DyAl (PBE, relaxed)
# Formation energy (eV per formula unit): -0.796
# Electronic total energy (eV/cell): -9.14
data_DyAl
_chemical_formula_sum 'Dy1 Al1'
_cell_length_a 3.596
_cell_length_b 3.596
_cell_length_c 3.596
_cell_angle_alpha 90.00
_cell_angle_beta 90.00
_cell_angle_gamma 90.00
_symmetry_space_group_name_H-M 'P m -3 m'
_symmetry_Int_Tables_number 221
_symmetry_space_group_name_Hall '-P 4 2 3'
loop_
_atom_site_label
_atom_site_type_symbol
_atom_site_fract_x
_atom_site_fract_y
_atom_site_fract_z
Dy1 Dy 0.000 0.000 0.000
Al1 Al 0.500 0.500 0.500

# Li3Zn5 (PBE, relaxed)
# Polymorph energy (0 for the lowest one) (eV/f.u.): 0.03
# Formation energy (eV per formula unit): -1.157
# Electronic total energy (eV/cell): -53.07
data_Li3Zn5
_chemical_formula_sum 'Li12 Zn20'
_cell_length_a 8.762
_cell_length_b 6.034
_cell_length_c 8.764
_cell_angle_alpha 90.00
_cell_angle_beta 90.00
_cell_angle_gamma 90.00
_symmetry_space_group_name_H-M 'C m c m'
_symmetry_Int_Tables_number 63
_symmetry_space_group_name_Hall '-C 2c 2'
loop_
_atom_site_label
_atom_site_type_symbol
_atom_site_fract_x
_atom_site_fract_y
_atom_site_fract_z
Li1 Li 0.000 0.006 0.250
Li2 Li 0.237 0.500 0.000
Zn1 Zn 0.000 0.229 0.503
Zn2 Zn 0.000 0.495 0.250
Zn3 Zn 0.247 0.249 0.750

# Ti2HPdRu (PBE, relaxed)
# Polymorph energy (0 for the lowest one) (eV/f.u.): 0.23
# Electronic total energy (eV/cell): -35.71
data_Ti2HPdRu
_chemical_formula_sum 'Ti2 H1 Pd1 Ru1'
_cell_length_a 4.169
_cell_length_b 4.169
_cell_length_c 3.630
_cell_angle_alpha 90.00
_cell_angle_beta 90.00
_cell_angle_gamma 90.00
_symmetry_space_group_name_H-M 'P 4/m m m'
_symmetry_Int_Tables_number 123
_symmetry_space_group_name_Hall '-P 4 2'
loop_
_atom_site_label
_atom_site_type_symbol
_atom_site_fract_x
_atom_site_fract_y
_atom_site_fract_z
Ti1 Ti 0.000 0.500 0.000
H1 H 0.000 0.000 0.000
Pd1 Pd 0.000 0.000 0.500
Ru1 Ru 0.500 0.500 0.500

# Ac2PH2 (PBE, relaxed)
# Electronic total energy (eV/cell): -48.73
data_Ac2PH2
_chemical_formula_sum 'Ac4 P2 H4'
_cell_length_a 3.922
_cell_length_b 3.922
_cell_length_c 13.346
_cell_angle_alpha 90.00
_cell_angle_beta 90.00
_cell_angle_gamma 90.00
_symmetry_space_group_name_H-M 'I 4/m m m'
_symmetry_Int_Tables_number 139
_symmetry_space_group_name_Hall '-I 4 2'
loop_
_atom_site_label
_atom_site_type_symbol
_atom_site_fract_x
_atom_site_fract_y
_atom_site_fract_z
Ac1 Ac 0.000 0.000 0.131
P1 P 0.000 0.000 0.500
H1 H 0.000 0.500 0.250